# LaUBe

Crystalline LaUBe at its relaxed geometry (PBE, OQMD via LeMat-Bulk).

a = 4.677 Å, b = 4.677 Å, c = 4.677 Å
α = 60.00°, β = 60.00°, γ = 60.00°
Sites, in units of the cell vectors:
La 0.000 0.000 0.000
U 0.500 0.500 0.500
Be 0.250 0.250 0.250

Properties
Symmetry   F-43m, No. 216
Energy above the most stable polymorph in this dataset   0.0 meV/atom

---

# Si3Ni2

Crystalline Si3Ni2 at its relaxed geometry (PBE, OQMD via LeMat-Bulk).

a = 3.844 Å, b = 3.844 Å, c = 4.985 Å
α = 90.00°, β = 90.00°, γ = 120.00°
Sites, in units of the cell vectors:
Si 0.000 0.000 0.000
Si 0.333 0.667 0.646
Si 0.667 0.333 0.354
Ni 0.333 0.667 0.182
Ni 0.667 0.333 0.818

Properties
Symmetry   P-3m1, No. 164
E_tot   -5.72 eV/atom

---

# Sr2LiNbH6

Crystalline Sr2LiNbH6 at its relaxed geometry (PBE, OQMD via LeMat-Bulk).

a = 5.548 Å, b = 5.548 Å, c = 5.548 Å
α = 60.00°, β = 60.00°, γ = 60.00°
Sites, in units of the cell vectors:
Sr 0.250 0.250 0.250
Sr 0.750 0.750 0.750
Li 0.000 0.000 0.000
Nb 0.500 0.500 0.500
H 0.250 0.250 0.750
H 0.250 0.750 0.250
H 0.250 0.750 0.750
H 0.750 0.250 0.250
H 0.750 0.250 0.750
H 0.750 0.750 0.250

Properties
Symmetry   Fm-3m, No. 225
E_tot   -3.91 eV/atom

---

# CsScCuS3

Crystalline CsScCuS3 at its relaxed geometry (PBE, OQMD via LeMat-Bulk).

a = 15.649 Å, b = 3.823 Å, c = 10.146 Å
α = 90.00°, β = 90.00°, γ = 90.00°
Sites, in units of the cell vectors:
Cs 0.237 0.250 0.031
Cs 0.263 0.750 0.531
Cs 0.737 0.250 0.469
Cs 0.763 0.750 0.969
Sc 0.020 0.250 0.349
Sc 0.480 0.750 0.849
Sc 0.520 0.250 0.151
Sc 0.980 0.750 0.651
Cu 0.016 0.750 0.099
Cu 0.484 0.250 0.599
Cu 0.516 0.750 0.401
Cu 0.984 0.250 0.901
S 0.065 0.750 0.883
S 0.084 0.250 0.579
S 0.117 0.750 0.261
S 0.383 0.250 0.761
S 0.416 0.750 0.079
S 0.435 0.250 0.383
S 0.565 0.750 0.617
S 0.584 0.250 0.921
S 0.617 0.750 0.239
S 0.883 0.250 0.739
S 0.916 0.750 0.421
S 0.935 0.250 0.117

Properties
Symmetry   Pnma, No. 62
E_tot   -5.09 eV/atom

---

# CsHoTeSe

Crystalline CsHoTeSe at its relaxed geometry (PBE, OQMD via LeMat-Bulk).

a = 4.378 Å, b = 4.378 Å, c = 17.294 Å
α = 90.00°, β = 90.00°, γ = 120.00°
Sites, in units of the cell vectors:
Cs 0.333 0.667 0.000
Cs 0.667 0.333 0.500
Ho 0.000 0.000 0.236
Ho 0.000 0.000 0.736
Te 0.333 0.667 0.339
Te 0.667 0.333 0.839
Se 0.333 0.667 0.652
Se 0.667 0.333 0.152

Properties
Symmetry   P6_3mc, No. 186
Energy above the most stable polymorph in this dataset   0.0 meV/atom

---

# Na2TaRe2

Crystalline Na2TaRe2 at its relaxed geometry (PBE, OQMD via LeMat-Bulk).

a = 4.866 Å, b = 7.617 Å, c = 5.635 Å
α = 90.00°, β = 90.00°, γ = 90.00°
Sites, in units of the cell vectors:
Na 0.225 0.142 0.000
Na 0.275 0.642 0.000
Na 0.725 0.358 0.000
Na 0.775 0.858 0.000
Ta 0.000 0.500 0.500
Ta 0.500 0.000 0.500
Re 0.025 0.834 0.500
Re 0.475 0.334 0.500
Re 0.525 0.666 0.500
Re 0.975 0.166 0.500

Properties
Symmetry   Pbam, No. 55
E_tot   -7.10 eV/atom

---

# MgScBPt

Crystalline MgScBPt at its relaxed geometry (PBE, OQMD via LeMat-Bulk).

a = 4.326 Å, b = 4.326 Å, c = 4.326 Å
α = 60.00°, β = 60.00°, γ = 60.00°
Sites, in units of the cell vectors:
Mg 0.000 0.000 0.000
Sc 0.750 0.750 0.750
B 0.250 0.250 0.250
Pt 0.500 0.500 0.500

Properties
Symmetry   F-43m, No. 216
Energy above the most stable polymorph in this dataset   159.1 meV/atom

---

# BaMgSiNi

Crystalline BaMgSiNi at its relaxed geometry (PBE, OQMD via LeMat-Bulk).

a = 4.903 Å, b = 4.903 Å, c = 4.903 Å
α = 60.00°, β = 60.00°, γ = 60.00°
Sites, in units of the cell vectors:
Ba 0.000 0.000 0.000
Mg 0.750 0.750 0.750
Si 0.500 0.500 0.500
Ni 0.250 0.250 0.250

Properties
Symmetry   F-43m, No. 216
Energy above the most stable polymorph in this dataset   0.0 meV/atom